(1)
The following is a DFT calculation (GGA-PBE) of Pa4InBi5 after structural relaxation.

Calculated values
Its formation energy is 0.012 eV/atom.

Geometry as CIF:
```
data_Pa4InBi5
_cell_length_a 4.3787
_cell_length_b 4.3787
_cell_length_c 59.4176
_cell_angle_alpha 90.00
_cell_angle_beta 90.00
_cell_angle_gamma 120.00
_space_group_name_H-M_alt 'R -3 m'
_space_group_IT_number 166
_space_group_name_Hall '-R 3 2"'
loop_
_atom_site_label
_atom_site_type_symbol
_atom_site_fract_x
_atom_site_fract_y
_atom_site_fract_z
Pa1 Pa 0.0000 0.0000 0.0968
Pa2 Pa 0.0000 0.0000 0.3011
In1 In 0.0000 0.0000 0.5000
Bi1 Bi 0.0000 0.0000 0.0000
Bi2 Bi 0.0000 0.0000 0.2047
Bi3 Bi 0.0000 0.0000 0.3979
```

=====

(2)
The following is a DFT calculation (GGA-PBE) of Pa2InBi3 after structural relaxation.

Calculated values
Its formation energy is -0.176 eV/atom.

Geometry as CIF:
```
data_Pa2InBi3
_cell_length_a 4.426
_cell_length_b 4.426
_cell_length_c 8.957
_cell_angle_alpha 90.00
_cell_angle_beta 90.00
_cell_angle_gamma 90.00
_space_group_name_H-M_alt 'P -4 m 2'
_space_group_IT_number 115
loop_
_space_group_symop_operation_xyz
'x,y,z'
'y,-x,-z'
'-x,-y,z'
'-y,x,-z'
'-x,y,z'
'-y,-x,-z'
'x,-y,z'
'y,x,-z'
loop_
_atom_site_label
_atom_site_type_symbol
_atom_site_fract_x
_atom_site_fract_y
_atom_site_fract_z
Pa1 Pa 0.000 0.500 0.218
In1 In 0.000 0.000 0.500
Bi1 Bi 0.000 0.500 0.854
Bi2 Bi 0.500 0.500 0.500
```

=====

(3)
The following is a DFT calculation (GGA-PBE) of Pa2InBi after structural relaxation.

Calculated values
For the energy relative to the lowest polymorph listed for this composition, the calculation gives 0.00 eV per formula unit. Its formation energy is 0.051 eV/atom.

Geometry as CIF:
```
data_Pa2InBi
_cell_length_a 4.802
_cell_length_b 4.802
_cell_length_c 4.632
_cell_angle_alpha 90.00
_cell_angle_beta 90.00
_cell_angle_gamma 90.00
_space_group_name_H-M_alt 'P 4/m m m'
_space_group_IT_number 123
_space_group_name_Hall '-P 4 2'
loop_
_atom_site_label
_atom_site_type_symbol
_atom_site_fract_x
_atom_site_fract_y
_atom_site_fract_z
Pa1 Pa 0.000 0.500 0.000
In1 In 0.000 0.000 0.500
Bi1 Bi 0.500 0.500 0.500
```

=====

(4)
The following is a DFT calculation (GGA-PBE) of PaInBi6 after structural relaxation.

Calculated values
Its formation energy is 0.054 eV/atom.

Geometry as CIF:
```
data_PaInBi6
_cell_length_a 4.512
_cell_length_b 4.359
_cell_length_c 26.643
_cell_angle_alpha 90.00
_cell_angle_beta 90.00
_cell_angle_gamma 90.00
_space_group_name_H-M_alt 'A m m 2'
_space_group_IT_number 38
loop_
_space_group_symop_operation_xyz
'x,y,z'
'-x,-y,z'
'-x,y,z'
'x,-y,z'
'x,y+1/2,z+1/2'
'-x,-y+1/2,z+1/2'
'-x,y+1/2,z+1/2'
'x,-y+1/2,z+1/2'
loop_
_atom_site_label
_atom_site_type_symbol
_atom_site_fract_x
_atom_site_fract_y
_atom_site_fract_z
Pa1 Pa 0.000 0.000 0.000
In1 In 0.500 0.000 0.344
Bi1 Bi 0.000 0.000 0.210
Bi2 Bi 0.000 0.000 0.596
Bi3 Bi 0.000 0.000 0.878
Bi4 Bi 0.500 0.000 0.094
Bi5 Bi 0.500 0.000 0.476
Bi6 Bi 0.500 0.000 0.752
```

=====

(5)
The following is a DFT calculation (GGA-PBE) of Pa2InBi after structural relaxation.

Calculated values
For the energy relative to the lowest polymorph listed for this composition, the calculation gives 0.33 eV per formula unit. Its formation energy is 0.133 eV/atom.

Geometry as CIF:
```
data_Pa2InBi
_cell_length_a 7.597
_cell_length_b 7.597
_cell_length_c 7.597
_cell_angle_alpha 90.00
_cell_angle_beta 90.00
_cell_angle_gamma 90.00
_space_group_name_H-M_alt 'F m -3 m'
_space_group_IT_number 225
_space_group_name_Hall '-F 4 2 3'
loop_
_atom_site_label
_atom_site_type_symbol
_atom_site_fract_x
_atom_site_fract_y
_atom_site_fract_z
Pa1 Pa 0.250 0.250 0.250
In1 In 0.000 0.000 0.000
Bi1 Bi 0.000 0.000 0.500
```

=====

(6)
The following is a DFT calculation (GGA-PBE) of Pa3InBi6 after structural relaxation.

Calculated values
Its formation energy is 0.169 eV/atom.

Geometry as CIF:
```
data_Pa3InBi6
_cell_length_a 4.6635
_cell_length_b 4.6635
_cell_length_c 19.0171
_cell_angle_alpha 90.00
_cell_angle_beta 90.00
_cell_angle_gamma 120.00
_space_group_name_H-M_alt 'P -3 m 1'
_space_group_IT_number 164
_space_group_name_Hall '-P 3 2"'
loop_
_atom_site_label
_atom_site_type_symbol
_atom_site_fract_x
_atom_site_fract_y
_atom_site_fract_z
Pa1 Pa 0.0000 0.0000 0.0000
Pa2 Pa 0.0000 0.0000 0.3177
In1 In 0.0000 0.0000 0.5000
Bi1 Bi 0.3333 0.6667 0.0841
Bi2 Bi 0.3333 0.6667 0.4064
Bi3 Bi 0.3333 0.6667 0.7646
```